Entry from the Alexandria database: a PBEsol-optimized structure of K2InBr (SCAN).

a b c (Å): 5.9303 5.9303 5.9303
angles (deg): 60.00 60.00 60.00
Element x y z (fractional)
K1 0.2500 0.2500 0.2500
K2 0.7500 0.7500 0.7500
In1 0.0000 0.0000 0.0000
Br1 0.5000 0.5000 0.5000

Summary:
The space group is Fm-3m, No. 225. The calculation puts the offset from the most stable computed form at 0.182 eV per atom. The calculation puts the total magnetization at 0.110 μB/atom. The uncorrected formation energy is -543 meV/atom. Its crystal system is cubic.

Entry from the Alexandria database: a PBEsol-optimized structure of MgRe3Pb (SCAN).

a b c (Å): 4.9204 4.9204 4.9204
angles (deg): 90.00 90.00 90.00
Element x y z (fractional)
Mg1 0.0000 0.0000 0.0000
Re1 0.0000 0.5000 0.5000
Re2 0.5000 0.0000 0.5000
Re3 0.5000 0.5000 0.0000
Pb1 0.5000 0.5000 0.5000

Summary:
The space group is Pm-3m, No. 221. The calculation puts the total magnetization at 0.611 μB/atom. The calculation puts the formation enthalpy at 0 K at 3.074 eV per atom. Its crystal system is cubic.

Entry from the Alexandria database: a PBEsol-optimized structure of SrBe2Cu (SCAN).

a b c (Å): 8.3550 8.3550 8.3550
angles (deg): 149.28 149.28 44.00
Element x y z (fractional)
Sr1 0.3750 0.6250 0.7500
Sr2 0.6250 0.3750 0.2500
Be1 0.0000 0.0000 0.0000
Be2 0.0000 0.0000 0.5000
Be3 0.0000 0.5000 0.0000
Be4 0.5000 0.0000 0.5000
Cu1 0.1250 0.8750 0.2500
Cu2 0.8750 0.1250 0.7500

Summary:
The space group is I4_1/amd, No. 141. The calculation puts the offset from the most stable computed form at 0.000 eV per atom. The calculation puts the total magnetization at 0.000 μB/atom. The calculation puts the formation enthalpy at 0 K at 0.265 eV per atom. Its crystal system is tetragonal.

Entry from the Alexandria database: a PBEsol-optimized structure of CdSnH2 (SCAN).

a b c (Å): 5.6531 5.6531 5.6531
angles (deg): 123.34 123.34 84.30
Element x y z (fractional)
Cd1 0.0000 0.0000 0.0000
Cd2 0.7500 0.2500 0.5000
Sn1 0.2500 0.7500 0.5000
Sn2 0.5000 0.5000 0.0000
H1 0.0382 0.1250 0.4132
H2 0.3750 0.9618 0.0868
H3 0.7118 0.6250 0.5868
H4 0.8750 0.2882 0.9132

Summary:
The space group is I-42d, No. 122. The calculation puts the total magnetization at 0.000 μB/atom. Its crystal system is tetragonal.

Entry from the Alexandria database: a PBEsol-optimized structure of La5Al3Ni2 (SCAN).

a b c (Å): 7.8242 7.8242 10.2311
angles (deg): 90.00 90.00 51.28
Element x y z (fractional)
La1 0.0330 0.5302 0.2500
La2 0.1079 0.8921 0.7500
La3 0.3747 0.3747 0.0000
La4 0.3747 0.3747 0.5000
La5 0.4698 0.9670 0.2500
La6 0.5302 0.0330 0.7500
La7 0.6253 0.6253 0.0000
La8 0.6253 0.6253 0.5000
La9 0.8921 0.1079 0.2500
La10 0.9670 0.4698 0.7500
Al1 0.1476 0.1476 0.0000
Al2 0.1476 0.1476 0.5000
Al3 0.3821 0.6179 0.2500
Al4 0.6179 0.3821 0.7500
Al5 0.8524 0.8524 0.0000
Al6 0.8524 0.8524 0.5000
Ni1 0.1727 0.8273 0.0578
Ni2 0.1727 0.8273 0.4422
Ni3 0.8273 0.1727 0.5578
Ni4 0.8273 0.1727 0.9422

Summary:
The space group is Cmcm, No. 63. The calculation puts the total magnetization at 0.000 μB/atom. The calculation puts the formation enthalpy at 0 K at -0.438 eV per atom. Its crystal system is orthorhombic.

Entry from the Alexandria database: a PBEsol-optimized structure of TeOsSCl2 (SCAN).

a b c (Å): 4.7315 4.7315 4.5290
angles (deg): 90.00 90.00 90.00
Element x y z (fractional)
Te1 0.0000 0.0000 0.0000
Os1 0.5000 0.5000 0.5000
S1 0.5000 0.5000 0.0000
Cl1 0.0000 0.5000 0.5000
Cl2 0.5000 0.0000 0.5000

Summary:
The space group is P4/mmm, No. 123. The calculation puts the offset from the most stable computed form at 0.000 eV per atom. The calculation puts the total magnetization at 0.062 μB/atom. The uncorrected formation energy is 413 meV/atom. Its crystal system is tetragonal.

Entry from the Alexandria database: a PBEsol-optimized structure of ZnGa2O (SCAN).

a b c (Å): 4.3470 4.3470 4.3470
angles (deg): 60.00 60.00 60.00
Element x y z (fractional)
Zn1 0.0000 0.0000 0.0000
Ga1 0.2500 0.2500 0.2500
Ga2 0.7500 0.7500 0.7500
O1 0.5000 0.5000 0.5000

Summary:
The space group is Fm-3m, No. 225. The calculation puts the total magnetization at 0.000 μB/atom. The uncorrected formation energy is 151 meV/atom. Its crystal system is cubic.

Entry from the Alexandria database: a PBEsol-optimized structure of Ba2MgCrAu (SCAN).

a b c (Å): 6.1764 6.1764 5.1318
angles (deg): 90.00 90.00 90.00
Element x y z (fractional)
Ba1 0.0000 0.5000 0.0000
Ba2 0.5000 0.0000 0.0000
Mg1 0.0000 0.0000 0.5000
Cr1 0.5000 0.5000 0.5000
Au1 0.0000 0.0000 0.0000

Summary:
The space group is P4/mmm, No. 123. The calculation puts the total magnetization at 1.093 μB/atom. The calculation puts the formation enthalpy at 0 K at -0.054 eV per atom. Its crystal system is tetragonal.

Entry from the Alexandria database: a PBEsol-optimized structure of ScNiSn (SCAN).

a b c (Å): 6.5804 4.3210 7.4088
angles (deg): 90.00 90.00 90.00
Element x y z (fractional)
Sc1 0.0106 0.2500 0.2074
Sc2 0.4894 0.7500 0.7074
Sc3 0.5106 0.2500 0.2926
Sc4 0.9894 0.7500 0.7926
Ni1 0.2091 0.7500 0.4177
Ni2 0.2909 0.2500 0.9177
Ni3 0.7091 0.7500 0.0823
Ni4 0.7909 0.2500 0.5823
Sn1 0.1970 0.2500 0.5878
Sn2 0.3030 0.7500 0.0878
Sn3 0.6970 0.2500 0.9122
Sn4 0.8030 0.7500 0.4122

Summary:
The space group is Pnma, No. 62. The calculation puts the total magnetization at 0.000 μB/atom. The calculation puts the formation enthalpy at 0 K at -0.713 eV per atom. Its crystal system is orthorhombic.

Entry from the Alexandria database: a PBEsol-optimized structure of LaScAl4 (SCAN).

a b c (Å): 5.5335 5.5335 5.5335
angles (deg): 60.00 60.00 60.00
Element x y z (fractional)
La1 0.0000 0.0000 0.0000
Sc1 0.2500 0.2500 0.2500
Al1 0.1255 0.6248 0.6248
Al2 0.6248 0.1255 0.6248
Al3 0.6248 0.6248 0.1255
Al4 0.6248 0.6248 0.6248

Summary:
The space group is F-43m, No. 216. The calculation puts the total magnetization at 0.078 μB/atom. The calculation puts the formation enthalpy at 0 K at -0.456 eV per atom. Its crystal system is cubic.

Entry from the Alexandria database: a PBEsol-optimized structure of FeAsSe2 (SCAN).

a b c (Å): 3.2672 3.2672 6.6913
angles (deg): 90.00 90.00 90.00
Element x y z (fractional)
Fe1 0.0000 0.0000 0.0000
As1 0.5000 0.5000 0.8111
Se1 0.0000 0.0000 0.6051
Se2 0.5000 0.5000 0.2021

Summary:
The space group is P4mm, No. 99. The calculation puts the total magnetization at 0.654 μB/atom. The uncorrected formation energy is 211 meV/atom. Its crystal system is tetragonal.

Entry from the Alexandria database: a PBEsol-optimized structure of Ca2POs (SCAN).

a b c (Å): 4.0263 5.4841 5.4841
angles (deg): 47.88 90.00 90.00
Element x y z (fractional)
Ca1 0.0000 0.0000 0.0000
Ca2 0.5000 0.2908 0.2908
P1 0.5000 0.5936 0.5936
Os1 0.0000 0.6940 0.6940

Summary:
The space group is Amm2, No. 38. The calculation puts the total magnetization at 0.000 μB/atom. The calculation puts the formation enthalpy at 0 K at -0.510 eV per atom. Its crystal system is orthorhombic.

Number 1: uncorrected energy -17.919 eV/atom. Number 2: uncorrected energy -55.735 eV/atom. Number 3: uncorrected energy -11.280 eV/atom. Number 4: uncorrected energy -17.806 eV/atom. Number 5: uncorrected energy -27.551 eV/atom. Number 6: uncorrected energy -26.530 eV/atom. Number 7: uncorrected energy -12.959 eV/atom. Number 8: uncorrected energy -34.377 eV/atom. Number 9: uncorrected energy -22.824 eV/atom. Number 10: uncorrected energy -15.181 eV/atom. Number 11: uncorrected energy -19.409 eV/atom. Number 12: uncorrected energy -25.911 eV/atom.